1.
Computed, not measured: a relaxed structure of CaAc3Pb4 at the PBE-GGA level of DFT.

abc: 10.517 10.517 10.517
angles: 157.41 137.24 48.89
Positions (direct):
Ca (0.000, 0.000, 0.000)
Ac (0.212, 0.712, 0.500)
Ac (0.500, 0.500, 0.000)
Ac (0.788, 0.288, 0.500)
Pb (0.163, 0.875, 0.288)
Pb (0.414, 0.125, 0.288)
Pb (0.586, 0.875, 0.712)
Pb (0.837, 0.125, 0.712)

Results
The total energy comes out at -32.5 eV per cell. The offset from the most stable computed form comes out at 1.82 kcal/mol of atoms.

=====

2.
Computed, not measured: a relaxed structure of CaAc4Pb2 at the PBE-GGA level of DFT.

abc: 8.408 8.681 9.291
angles: 89.99 73.17 67.43
Positions (direct):
Ca (0.000, 0.000, 0.000)
Ca (0.356, 0.704, 0.142)
Ac (0.129, 0.307, 0.720)
Ac (0.222, 0.267, 0.177)
Ac (0.363, 0.739, 0.645)
Ac (0.609, 0.314, 0.312)
Ac (0.611, 0.310, 0.846)
Ac (0.760, 0.776, 0.807)
Ac (0.761, 0.758, 0.273)
Ac (0.984, 0.025, 0.474)
Pb (0.143, 0.592, 0.953)
Pb (0.146, 0.588, 0.451)
Pb (0.554, 0.045, 0.589)
Pb (0.814, 0.457, 0.523)

Results
The total energy comes out at -54.7 eV per cell.

=====

3.
Computed, not measured: a relaxed structure of Ca3AcPb2 at the PBE-GGA level of DFT.

abc: 5.169 9.926 8.175
angles: 90.00 90.00 90.00
Positions (direct):
Ca (0.000, 0.073, 0.000)
Ca (0.000, 0.309, 0.374)
Ca (0.000, 0.691, 0.874)
Ca (0.000, 0.927, 0.500)
Ca (0.500, 0.174, 0.679)
Ca (0.500, 0.826, 0.179)
Ac (0.500, 0.441, 0.054)
Ac (0.500, 0.559, 0.554)
Pb (0.000, 0.363, 0.774)
Pb (0.000, 0.637, 0.274)
Pb (0.500, 0.138, 0.275)
Pb (0.500, 0.862, 0.775)

Results
The total energy comes out at -41.1 eV per cell. The offset from the most stable computed form comes out at 0.00 kcal/mol of atoms.

=====

4.
Computed, not measured: a relaxed structure of Ca3AcPb4 at the PBE-GGA level of DFT.

abc: 4.651 5.237 10.436
angles: 90.00 90.00 90.00
Positions (direct):
Ca (0.000, 0.000, 0.000)
Ca (0.000, 0.500, 0.239)
Ca (0.000, 0.500, 0.761)
Ac (0.000, 0.000, 0.500)
Pb (0.500, 0.000, 0.240)
Pb (0.500, 0.000, 0.760)
Pb (0.500, 0.500, 0.000)
Pb (0.500, 0.500, 0.500)

Results
The total energy comes out at -29.0 eV per cell.

=====

5.
Computed, not measured: a relaxed structure of CaAc6Pb2 at the PBE-GGA level of DFT.

abc: 7.350 7.350 11.097
angles: 121.92 121.92 48.85
Positions (direct):
Ca (0.000, 0.000, 0.000)
Ac (0.074, 0.074, 0.396)
Ac (0.303, 0.303, 0.947)
Ac (0.347, 0.347, 0.326)
Ac (0.653, 0.653, 0.674)
Ac (0.697, 0.697, 0.053)
Ac (0.926, 0.926, 0.604)
Pb (0.392, 0.392, 0.719)
Pb (0.608, 0.608, 0.281)

Results
The total energy comes out at -35.9 eV per cell.

=====

6.
Computed, not measured: a relaxed structure of Ca4AcPb5 at the PBE-GGA level of DFT.

abc: 3.667 3.667 23.222
angles: 90.00 90.00 90.00
Positions (direct):
Ca (0.000, 0.000, 0.098)
Ca (0.000, 0.000, 0.293)
Ca (0.000, 0.000, 0.707)
Ca (0.000, 0.000, 0.902)
Ac (0.000, 0.000, 0.500)
Pb (0.500, 0.500, 0.000)
Pb (0.500, 0.500, 0.196)
Pb (0.500, 0.500, 0.392)
Pb (0.500, 0.500, 0.608)
Pb (0.500, 0.500, 0.804)

Results
The total energy comes out at -35.7 eV per cell.

=====

7.
Computed, not measured: a relaxed structure of CaAcPb2 at the PBE-GGA level of DFT.

abc: 9.465 4.571 12.921
angles: 90.00 90.00 90.00
Positions (direct):
Ca (0.023, 0.250, 0.104)
Ca (0.477, 0.750, 0.604)
Ca (0.523, 0.250, 0.396)
Ca (0.977, 0.750, 0.896)
Ac (0.122, 0.750, 0.353)
Ac (0.378, 0.250, 0.853)
Ac (0.622, 0.750, 0.147)
Ac (0.878, 0.250, 0.647)
Pb (0.161, 0.750, 0.700)
Pb (0.240, 0.250, 0.541)
Pb (0.260, 0.750, 0.041)
Pb (0.339, 0.250, 0.200)
Pb (0.661, 0.750, 0.800)
Pb (0.740, 0.250, 0.959)
Pb (0.760, 0.750, 0.459)
Pb (0.839, 0.250, 0.300)

Results
The total energy comes out at -61.4 eV per cell.

=====

8.
Computed, not measured: a relaxed structure of Ca2Ac5Pb5 at the PBE-GGA level of DFT.

abc: 8.377 8.377 13.673
angles: 107.67 107.67 32.78
Positions (direct):
Ca (0.047, 0.047, 0.285)
Ca (0.953, 0.953, 0.715)
Ac (0.263, 0.263, 0.150)
Ac (0.342, 0.342, 0.461)
Ac (0.500, 0.500, 0.000)
Ac (0.658, 0.658, 0.539)
Ac (0.737, 0.737, 0.850)
Pb (0.000, 0.000, 0.500)
Pb (0.113, 0.113, 0.921)
Pb (0.307, 0.307, 0.702)
Pb (0.693, 0.693, 0.298)
Pb (0.887, 0.887, 0.079)

Results
The total energy comes out at -48.1 eV per cell.

=====

Taking the records one at a time from the top gives M_tot values of 0.00; 0.00; 0.00; 0.00; 0.00; 0.00; 0.00; 0.00 μB/cell.